No. 1
This record from Alexandria describes a relaxed LiAg3Rh crystal. The functional is PBE.

Theoretical density   8.62 g/cm³
E_form   560.3 meV/atom
Relative energy among the computed polymorphs   0.000 eV per atom
E_tot   -3.00 eV/atom

Cell: 4.3715 4.3715 4.3715 Å, 90.00 90.00 90.00°
Closest atoms and distances in Å follow each position.
Atoms (fractional coordinates):
Rh 0.5000 0.5000 0.5000  12 Ag 3.09
Ag 0.0000 0.5000 0.0000  2 Li 2.19
Ag 0.0000 0.0000 0.5000  2 Li 2.19
Ag 0.5000 0.0000 0.0000  2 Li 2.19
Li 0.0000 0.0000 0.0000  6 Ag 2.19

***

No. 2
This record from Alexandria describes a relaxed Li2AgRh crystal. The functional is PBE.

Theoretical density   6.31 g/cm³
E_form   -112.6 meV/atom
E_tot   -3.62 eV/atom

Cell: 4.3142 2.6948 5.0995 Å, 85.73 90.00 90.00°
Closest atoms and distances in Å follow each position.
Atoms (fractional coordinates):
Rh 0.5000 0.2500 0.2500  4 Li 2.59, 2 Rh 2.69, 2 Ag 2.79
Ag 0.5000 0.7500 0.7500  4 Li 2.66, 2 Ag 2.69, 4 Rh 2.79-2.97
Li 0.0000 0.9667 0.0229  3 Li 2.51-2.69, 2 Rh 2.59, 2 Ag 2.66
Li 0.0000 0.5333 0.4771  3 Li 2.51-2.69, 2 Rh 2.59, 2 Ag 2.66

***

No. 3
This record from Alexandria describes a relaxed Li12Ag6Rh crystal. The functional is PBE.

Theoretical density   4.24 g/cm³
E_form   -144.8 meV/atom
E_tot   -2.64 eV/atom

Cell: 6.8834 6.8834 6.8834 Å, 90.93 90.93 90.93°
Closest atoms and distances in Å follow each position.
Atoms (fractional coordinates):
Li 0.8047 0.5325 0.4291  4 Ag 2.73-2.80, 4 Li 2.82-2.89
Li 0.4291 0.8047 0.5325  4 Ag 2.73-2.80, 4 Li 2.82-2.89
Li 0.5325 0.4291 0.8047  4 Ag 2.73-2.80, 4 Li 2.82-2.89
Li 0.1953 0.4675 0.5709  4 Ag 2.73-2.80, 4 Li 2.82-2.89
Li 0.5709 0.1953 0.4675  4 Ag 2.73-2.80, 4 Li 2.82-2.89
Li 0.4675 0.5709 0.1953  4 Ag 2.73-2.80, 4 Li 2.82-2.89
Li 0.0300 0.1425 0.3641  1 Rh 2.68, 4 Li 2.76-2.89, 4 Ag 2.79-2.97
Li 0.8575 0.6359 0.9700  1 Rh 2.68, 4 Li 2.76-2.89, 4 Ag 2.79-2.97
Li 0.6359 0.9700 0.8575  1 Rh 2.68, 4 Li 2.76-2.89, 4 Ag 2.79-2.97
Li 0.9700 0.8575 0.6359  1 Rh 2.68, 4 Li 2.76-2.89, 4 Ag 2.79-2.97
Li 0.1425 0.3641 0.0300  1 Rh 2.68, 4 Li 2.76-2.89, 4 Ag 2.79-2.97
Li 0.3641 0.0300 0.1425  1 Rh 2.68, 4 Li 2.76-2.89, 4 Ag 2.79-2.97
Ag 0.7243 0.8839 0.2708  9 Li 2.73-3.02, 1 Rh 2.80, 2 Ag 2.92
Ag 0.7292 0.2757 0.1161  9 Li 2.73-3.02, 1 Rh 2.80, 2 Ag 2.92
Ag 0.1161 0.7292 0.2757  9 Li 2.73-3.02, 1 Rh 2.80, 2 Ag 2.92
Ag 0.2757 0.1161 0.7292  9 Li 2.73-3.02, 1 Rh 2.80, 2 Ag 2.92
Ag 0.2708 0.7243 0.8839  9 Li 2.73-3.02, 1 Rh 2.80, 2 Ag 2.92
Ag 0.8839 0.2708 0.7243  9 Li 2.73-3.02, 1 Rh 2.80, 2 Ag 2.92
Rh 0.0000 0.0000 0.0000  6 Li 2.68, 6 Ag 2.80

***

No. 4
This record from Alexandria describes a relaxed Li3Ag3Rh crystal. The functional is PBE.

Theoretical density   6.19 g/cm³
E_form   -31.5 meV/atom
E_tot   -3.12 eV/atom

Cell: 6.4654 6.4654 5.7388 Å, 90.00 90.00 88.82°
Closest atoms and distances in Å follow each position.
Atoms (fractional coordinates):
Li 0.7269 0.2731 0.5000  6 Ag 2.73-2.86, 2 Rh 2.87, 2 Li 3.04
Li 0.2573 0.2573 0.5000  6 Ag 2.68-2.78, 2 Li 2.97
Li 0.7427 0.7427 0.5000  6 Ag 2.68-2.78, 2 Li 2.97
Li 0.3385 0.3385 0.0000  2 Rh 2.62, 4 Ag 2.80
Li 0.6615 0.6615 0.0000  2 Rh 2.62, 4 Ag 2.80
Li 0.2731 0.7269 0.5000  6 Ag 2.73-2.86, 2 Rh 2.87, 2 Li 3.04
Ag 0.0000 0.0000 0.7522  2 Rh 2.76, 4 Li 2.78-2.86, 2 Ag 2.84-2.89
Ag 0.0000 0.5000 0.2492  6 Li 2.68-2.80, 2 Rh 2.72, 2 Ag 2.86-2.88
Ag 0.5000 0.0000 0.2492  6 Li 2.68-2.80, 2 Rh 2.72, 2 Ag 2.86-2.88
Ag 0.0000 0.5000 0.7508  6 Li 2.68-2.80, 2 Rh 2.72, 2 Ag 2.86-2.88
Ag 0.5000 0.0000 0.7508  6 Li 2.68-2.80, 2 Rh 2.72, 2 Ag 2.86-2.88
Ag 0.0000 0.0000 0.2478  2 Rh 2.76, 4 Li 2.78-2.86, 2 Ag 2.84-2.89
Rh 0.7385 0.2615 0.0000  4 Li 2.62-2.87, 6 Ag 2.72-2.76
Rh 0.2615 0.7385 0.0000  4 Li 2.62-2.87, 6 Ag 2.72-2.76

***

No. 5
This record from Alexandria describes a relaxed Li2AgRh crystal. The functional is PBE.

Theoretical density   6.39 g/cm³
E_form   -85.5 meV/atom
E_tot   -3.59 eV/atom

Cell: 4.3620 2.6637 5.1949 Å, 75.41 90.00 90.00°
Closest atoms and distances in Å follow each position.
Atoms (fractional coordinates):
Ag 0.5000 0.8022 0.7643  3 Li 2.50-2.79, 2 Ag 2.66
Li 0.0000 0.1774 0.9939  4 Li 2.58-2.66, 3 Rh 2.61-2.77, 4 Ag 2.79-2.82
Li 0.5000 0.0669 0.2674  1 Ag 2.50, 4 Li 2.58-2.66, 4 Rh 2.74-2.77
Rh 0.0000 0.4535 0.4744  7 Li 2.61-2.77, 2 Rh 2.66

***

No. 6
This record from Alexandria describes a relaxed Li2AgRh crystal. The functional is PBE.

Theoretical density   6.25 g/cm³
E_form   -137.3 meV/atom
E_tot   -3.64 eV/atom

Cell: 2.7517 2.7517 8.9488 Å, 83.05 83.05 62.82°
Closest atoms and distances in Å follow each position.
Atoms (fractional coordinates):
Li 0.0960 0.0960 0.7303  3 Rh 2.57-2.66, 6 Li 2.75-2.87, 2 Ag 2.86
Li 0.2243 0.2243 0.2696  3 Rh 2.58-2.65, 6 Li 2.75-2.87, 2 Ag 2.86
Ag 0.6571 0.6571 0.0003  6 Ag 2.75-2.87, 6 Li 2.86-2.95
Rh 0.5225 0.5225 0.4998  6 Li 2.57-2.66, 6 Rh 2.75-2.87

***

No. 7
This record from Alexandria describes a relaxed Li2AgRh crystal. The functional is PBE.

Theoretical density   5.87 g/cm³
E_form   21.0 meV/atom
E_tot   -3.49 eV/atom

Cell: 2.7417 2.7417 9.3594 Å, 90.00 90.00 115.44°
Closest atoms and distances in Å follow each position.
Atoms (fractional coordinates):
Ag 0.5000 0.5000 0.7495  2 Li 2.68, 6 Ag 2.74-2.93, 2 Rh 2.84
Li 0.0000 0.0000 0.9893  2 Ag 2.68, 6 Li 2.74-2.93
Li 0.5000 0.5000 0.2712  2 Rh 2.52, 4 Li 2.74
Rh 0.0000 0.0000 0.4900  2 Li 2.52, 4 Rh 2.74

***

No. 8
This record from Alexandria describes a relaxed Li7Ag2Rh crystal. The functional is PBE.

Theoretical density   3.01 g/cm³
E_form   339.4 meV/atom
E_tot   -2.31 eV/atom

Cell: 6.5912 6.5912 6.5912 Å, 60.00 60.00 60.00°
Closest atoms and distances in Å follow each position.
Atoms (fractional coordinates):
Li 0.5000 0.5000 0.5000  6 Li 2.39
Li 0.2431 0.7569 0.7569  1 Rh 2.27, 1 Li 2.39
Li 0.2431 0.7569 0.2431  1 Rh 2.27, 1 Li 2.39
Li 0.7569 0.2431 0.7569  1 Rh 2.27, 1 Li 2.39
Li 0.7569 0.7569 0.2431  1 Rh 2.27, 1 Li 2.39
Li 0.2431 0.2431 0.7569  1 Rh 2.27, 1 Li 2.39
Li 0.7569 0.2431 0.2431  1 Rh 2.27, 1 Li 2.39
Ag 0.2500 0.2500 0.2500  12 Li 3.30
Ag 0.7500 0.7500 0.7500  12 Li 3.30
Rh 0.0000 0.0000 0.0000  6 Li 2.27

***

No. 9
This record from Alexandria describes a relaxed Li2AgRh crystal. The functional is PBE.

Theoretical density   6.27 g/cm³
E_form   -133.4 meV/atom
E_tot   -3.64 eV/atom

Cell: 2.7254 2.7254 8.7466 Å, 90.00 90.00 113.63°
Closest atoms and distances in Å follow each position.
Atoms (fractional coordinates):
Rh 0.5000 0.5000 0.2500  4 Li 2.51, 4 Rh 2.73
Ag 0.5000 0.5000 0.7500  6 Ag 2.73-2.98, 4 Li 2.79
Li 0.0000 0.0000 0.0190  2 Rh 2.51, 4 Li 2.73, 2 Ag 2.79
Li 0.0000 0.0000 0.4810  2 Rh 2.51, 4 Li 2.73, 2 Ag 2.79

***

No. 10
This record from Alexandria describes a relaxed LiAgRh crystal. The functional is PBE.

Theoretical density   7.90 g/cm³
E_form   21.2 meV/atom
Relative energy among the computed polymorphs   0.033 eV per atom
E_tot   -4.02 eV/atom

Cell: 7.2105 6.9880 2.7204 Å, 83.60 74.38 22.02°
Closest atoms and distances in Å follow each position.
Atoms (fractional coordinates):
Ag 0.9974 0.9974 0.0026  6 Ag 2.72-2.91, 2 Li 2.74, 2 Rh 2.83
Li 0.3277 0.3277 0.6723  2 Rh 2.55, 4 Li 2.72, 2 Ag 2.74
Rh 0.6749 0.6749 0.3251  2 Li 2.55, 4 Rh 2.72, 2 Ag 2.83

***

No. 11
This record from Alexandria describes a relaxed Li8Ag2Rh crystal. The functional is PBE.

Theoretical density   3.40 g/cm³
E_form   -78.5 meV/atom
Relative energy among the computed polymorphs   0.034 eV per atom
E_tot   -2.66 eV/atom

Cell: 4.4019 4.4019 9.4211 Å, 90.00 90.00 90.00°
Closest atoms and distances in Å follow each position.
Atoms (fractional coordinates):
Li 0.0000 0.5000 0.5000  8 Li 2.82-3.11, 4 Ag 2.84
Li 0.5000 0.0000 0.5000  8 Li 2.82-3.11, 4 Ag 2.84
Li 0.5000 0.5000 0.3126  8 Li 2.77-2.82
Li 0.5000 0.5000 0.6874  8 Li 2.77-2.82
Li 0.0000 0.5000 0.1332  3 Li 2.51-2.77, 2 Rh 2.53, 2 Ag 2.76
Li 0.5000 0.0000 0.1332  3 Li 2.51-2.77, 2 Rh 2.53, 2 Ag 2.76
Li 0.0000 0.5000 0.8668  3 Li 2.51-2.77, 2 Rh 2.53, 2 Ag 2.76
Li 0.5000 0.0000 0.8668  3 Li 2.51-2.77, 2 Rh 2.53, 2 Ag 2.76
Ag 0.0000 0.0000 0.3099  8 Li 2.76-2.84, 1 Rh 2.92
Ag 0.0000 0.0000 0.6901  8 Li 2.76-2.84, 1 Rh 2.92
Rh 0.0000 0.0000 0.0000  8 Li 2.53

***

No. 12
This record from Alexandria describes a relaxed Li2AgRh crystal. The functional is PBE.

Theoretical density   6.42 g/cm³
E_form   -104.4 meV/atom
E_tot   -3.61 eV/atom

Cell: 4.7261 4.7261 2.7172 Å, 90.00 90.00 106.70°
Closest atoms and distances in Å follow each position.
Atoms (fractional coordinates):
Rh 0.5000 0.0000 0.5000  2 Rh 2.72, 8 Li 2.73, 2 Ag 2.82
Ag 0.0000 0.5000 0.5000  2 Ag 2.72, 8 Li 2.73, 2 Rh 2.82
Li 0.0000 0.0000 0.0000  4 Li 2.72-2.82, 4 Rh 2.73, 4 Ag 2.73
Li 0.5000 0.5000 0.0000  4 Li 2.72-2.82, 4 Ag 2.73, 4 Rh 2.73